1.
Density functional theory data (GGA-PBE) for a relaxed structure of Tb4Ga3Pt.

Values from the calculation:
E_tot ... -39.78 eV/f.u.
N(E_F) ... 6.78 states/eV/f.u.
Crystal system ... orthorhombic
Magnetization ... 0.0 μB/cell

abc: 3.918 4.348 11.145
angles: 90.00 90.00 90.00
Positions (direct):
Tb: 0.000 0.000 0.000
Tb: 0.000 0.500 0.271
Tb: 0.500 0.000 0.478
Tb: 0.500 0.500 0.779
Ga: 0.000 0.000 0.705
Ga: 0.000 0.500 0.558
Ga: 0.500 0.500 0.052
Pt: 0.500 0.000 0.210


2.
Density functional theory data (GGA-PBE) for a relaxed structure of Tb3GaPt2.

Values from the calculation:
E_tot ... -34.88 eV/f.u.
N(E_F) ... 4.07 states/eV/f.u.
Crystal system ... orthorhombic
Magnetization ... 0.0 μB/cell

abc: 11.742 4.260 11.259
angles: 90.00 90.00 90.00
Positions (direct):
Tb: 0.049 0.250 0.125
Tb: 0.122 0.750 0.573
Tb: 0.202 0.250 0.819
Tb: 0.298 0.750 0.319
Tb: 0.378 0.250 0.073
Tb: 0.451 0.750 0.625
Tb: 0.549 0.250 0.375
Tb: 0.622 0.750 0.927
Tb: 0.702 0.250 0.681
Tb: 0.798 0.750 0.181
Tb: 0.878 0.250 0.427
Tb: 0.951 0.750 0.875
Ga: 0.130 0.250 0.375
Ga: 0.370 0.750 0.875
Ga: 0.630 0.250 0.125
Ga: 0.870 0.750 0.625
Pt: 0.012 0.750 0.314
Pt: 0.178 0.750 0.995
Pt: 0.322 0.250 0.495
Pt: 0.488 0.250 0.814
Pt: 0.512 0.750 0.186
Pt: 0.678 0.750 0.505
Pt: 0.822 0.250 0.005
Pt: 0.988 0.250 0.686


3.
Density functional theory data (GGA-PBE) for a relaxed structure of Tb4Ga12Pt.

Values from the calculation:
E_tot ... -71.80 eV/f.u.
N(E_F) ... 0.59 states/eV/f.u.
Crystal system ... cubic
Magnetization ... 0.0 μB/cell

abc: 7.481 7.481 7.481
angles: 109.47 109.47 109.47
Positions (direct):
Tb: 0.000 0.000 0.500
Tb: 0.000 0.500 0.000
Tb: 0.500 0.000 0.000
Tb: 0.500 0.500 0.500
Ga: 0.000 0.297 0.297
Ga: 0.000 0.703 0.703
Ga: 0.250 0.500 0.750
Ga: 0.250 0.750 0.500
Ga: 0.297 0.000 0.297
Ga: 0.297 0.297 0.000
Ga: 0.500 0.250 0.750
Ga: 0.500 0.750 0.250
Ga: 0.703 0.000 0.703
Ga: 0.703 0.703 0.000
Ga: 0.750 0.250 0.500
Ga: 0.750 0.500 0.250
Pt: 0.000 0.000 0.000


4.
Density functional theory data (GGA-PBE) for a relaxed structure of Tb3Ga2Pt7.

Values from the calculation:
E_tot ... -71.94 eV/f.u.
N(E_F) ... 4.25 states/eV/f.u.
Crystal system ... orthorhombic
Magnetization ... 0.0 μB/cell
Energy above the lowest structure with this stoichiometry ... 166.3 meV/atom

abc: 12.898 12.898 4.346
angles: 90.00 90.00 161.44
Positions (direct):
Tb: 0.000 0.000 0.000
Tb: 0.153 0.847 0.000
Tb: 0.847 0.153 0.000
Ga: 0.228 0.772 0.500
Ga: 0.772 0.228 0.500
Pt: 0.080 0.920 0.500
Pt: 0.336 0.664 0.500
Pt: 0.421 0.579 0.000
Pt: 0.500 0.500 0.500
Pt: 0.579 0.421 0.000
Pt: 0.664 0.336 0.500
Pt: 0.920 0.080 0.500


5.
Density functional theory data (GGA-PBE) for a relaxed structure of Tb3GaPt8.

Values from the calculation:
E_tot ... -76.92 eV/f.u.
N(E_F) ... 8.65 states/eV/f.u.
Crystal system ... trigonal
Magnetization ... 0.0 μB/cell

abc: 9.393 9.393 9.393
angles: 33.62 33.62 33.62
Positions (direct):
Tb: 0.000 0.000 0.000
Tb: 0.131 0.131 0.131
Tb: 0.610 0.610 0.610
Ga: 0.476 0.476 0.476
Pt: 0.056 0.561 0.561
Pt: 0.060 0.060 0.565
Pt: 0.060 0.565 0.060
Pt: 0.311 0.311 0.311
Pt: 0.561 0.056 0.561
Pt: 0.561 0.561 0.056
Pt: 0.565 0.060 0.060
Pt: 0.812 0.812 0.812


6.
Density functional theory data (GGA-PBE) for a relaxed structure of TbGa4Pt2.

Values from the calculation:
E_tot ... -34.55 eV/f.u.
N(E_F) ... 2.96 states/eV/f.u.
Crystal system ... orthorhombic
Magnetization ... 0.0 μB/cell
Energy above the lowest structure with this stoichiometry ... 0.0 meV/atom

abc: 17.365 4.298 6.679
angles: 90.00 90.00 90.00
Positions (direct):
Tb: 0.141 0.250 0.014
Tb: 0.359 0.750 0.514
Tb: 0.641 0.250 0.486
Tb: 0.859 0.750 0.986
Ga: 0.037 0.750 0.850
Ga: 0.069 0.250 0.486
Ga: 0.185 0.750 0.319
Ga: 0.188 0.750 0.729
Ga: 0.312 0.250 0.229
Ga: 0.315 0.250 0.819
Ga: 0.431 0.750 0.986
Ga: 0.463 0.250 0.350
Ga: 0.537 0.750 0.650
Ga: 0.569 0.250 0.014
Ga: 0.685 0.750 0.181
Ga: 0.688 0.750 0.771
Ga: 0.812 0.250 0.271
Ga: 0.815 0.250 0.681
Ga: 0.931 0.750 0.514
Ga: 0.963 0.250 0.150
Pt: 0.037 0.750 0.249
Pt: 0.216 0.250 0.527
Pt: 0.284 0.750 0.027
Pt: 0.463 0.250 0.749
Pt: 0.537 0.750 0.251
Pt: 0.716 0.250 0.973
Pt: 0.784 0.750 0.473
Pt: 0.963 0.250 0.751


7.
Density functional theory data (GGA-PBE) for a relaxed structure of TbGa6Pt3.

Values from the calculation:
E_tot ... -47.70 eV/f.u.
N(E_F) ... 3.08 states/eV/f.u.
Crystal system ... monoclinic
Magnetization ... 0.0 μB/cell

abc: 8.563 4.335 9.622
angles: 90.00 96.98 90.00
Positions (direct):
Tb: 0.072 0.250 0.262
Tb: 0.928 0.750 0.738
Ga: 0.107 0.250 0.600
Ga: 0.128 0.750 0.031
Ga: 0.289 0.750 0.767
Ga: 0.317 0.750 0.265
Ga: 0.412 0.250 0.448
Ga: 0.450 0.250 0.905
Ga: 0.550 0.750 0.095
Ga: 0.588 0.750 0.552
Ga: 0.683 0.250 0.735
Ga: 0.711 0.250 0.233
Ga: 0.872 0.250 0.969
Ga: 0.893 0.750 0.400
Pt: 0.154 0.250 0.884
Pt: 0.212 0.750 0.500
Pt: 0.410 0.250 0.163
Pt: 0.590 0.750 0.837
Pt: 0.788 0.250 0.500
Pt: 0.846 0.750 0.116


8.
Density functional theory data (GGA-PBE) for a relaxed structure of Tb3Ga3Pt2.

Values from the calculation:
E_tot ... -42.50 eV/f.u.
N(E_F) ... 6.23 states/eV/f.u.
Crystal system ... orthorhombic
Magnetization ... 0.0 μB/cell

abc: 8.112 14.931 5.625
angles: 90.00 90.00 90.00
Positions (direct):
Tb: 0.042 0.110 0.122
Tb: 0.042 0.390 0.122
Tb: 0.185 0.250 0.634
Tb: 0.315 0.750 0.134
Tb: 0.458 0.610 0.622
Tb: 0.458 0.890 0.622
Tb: 0.542 0.110 0.378
Tb: 0.542 0.390 0.378
Tb: 0.685 0.250 0.866
Tb: 0.815 0.750 0.366
Tb: 0.958 0.610 0.878
Tb: 0.958 0.890 0.878
Ga: 0.166 0.750 0.632
Ga: 0.188 0.035 0.613
Ga: 0.188 0.465 0.613
Ga: 0.312 0.535 0.113
Ga: 0.312 0.965 0.113
Ga: 0.334 0.250 0.132
Ga: 0.666 0.750 0.868
Ga: 0.688 0.035 0.887
Ga: 0.688 0.465 0.887
Ga: 0.812 0.535 0.387
Ga: 0.812 0.965 0.387
Ga: 0.834 0.250 0.368
Pt: 0.095 0.609 0.373
Pt: 0.095 0.891 0.373
Pt: 0.405 0.109 0.873
Pt: 0.405 0.391 0.873
Pt: 0.595 0.609 0.127
Pt: 0.595 0.891 0.127
Pt: 0.905 0.109 0.627
Pt: 0.905 0.391 0.627


Q: Look up the magnetization of the seventh one.
A: 0.0 μB/cell